[1]
Entry from the Alexandria database: a crystal of SrCuAs2O7 relaxed with PBEsol (meta-GGA SCAN).

The structure in CIF format:
```
data_SrCuAs2O7
_chemical_formula_sum 'Sr4 Cu4 As8 O28'
_space_group_name_H-M_alt 'P 1'
_space_group_IT_number 1
_cell_length_a 5.6208
_cell_length_b 8.2146
_cell_length_c 13.8156
_cell_angle_alpha 90.00
_cell_angle_beta 111.71
_cell_angle_gamma 90.00
loop_
_space_group_symop_operation_xyz
'x,y,z'
loop_
_atom_site_label
_atom_site_fract_x
_atom_site_fract_y
_atom_site_fract_z
_atom_site_occupancy
Sr1 0.0063 0.1584 0.2158 1
Sr2 0.0063 0.3416 0.7158 1
Sr3 0.9937 0.6584 0.2842 1
Sr4 0.9937 0.8416 0.7842 1
Cu1 0.3219 0.6391 0.6204 1
Cu2 0.3219 0.8609 0.1204 1
Cu3 0.6781 0.1391 0.8796 1
Cu4 0.6781 0.3609 0.3796 1
As1 0.3313 0.1815 0.0035 1
As2 0.3313 0.3185 0.5035 1
As3 0.4040 0.0313 0.6555 1
As4 0.4040 0.4687 0.1555 1
As5 0.5960 0.5313 0.8445 1
As6 0.5960 0.9687 0.3445 1
As7 0.6687 0.6815 0.4965 1
As8 0.6687 0.8185 0.9965 1
O1 0.0937 0.1571 0.8874 1
O2 0.0937 0.3429 0.3874 1
O3 0.1547 0.0525 0.6935 1
O4 0.1547 0.4475 0.1935 1
O5 0.2796 0.0961 0.1077 1
O6 0.2796 0.4039 0.6077 1
O7 0.3146 0.1054 0.5270 1
O8 0.3146 0.3946 0.0270 1
O9 0.3240 0.6303 0.7663 1
O10 0.3240 0.8697 0.2663 1
O11 0.3549 0.6452 0.4828 1
O12 0.3549 0.8548 0.9828 1
O13 0.4904 0.1621 0.3471 1
O14 0.4904 0.3379 0.8471 1
O15 0.5096 0.6621 0.1529 1
O16 0.5096 0.8379 0.6529 1
O17 0.6451 0.1452 0.0172 1
O18 0.6451 0.3548 0.5172 1
O19 0.6760 0.1303 0.7337 1
O20 0.6760 0.3697 0.2337 1
O21 0.6854 0.6054 0.9730 1
O22 0.6854 0.8946 0.4730 1
O23 0.7204 0.5961 0.3923 1
O24 0.7204 0.9039 0.8923 1
O25 0.8453 0.5525 0.8065 1
O26 0.8453 0.9475 0.3065 1
O27 0.9063 0.6571 0.6126 1
O28 0.9063 0.8429 0.1126 1
```

Values from the calculation:
**Raw formation energy**: -1.736 eV/atom
**VASP energy**: -12.779 eV/atom
**Total magnetic moment**: 3.93 μB per cell

[2]
Entry from the Alexandria database: a crystal of TlCuAsO4 relaxed with PBEsol (meta-GGA SCAN).

The structure in CIF format:
```
data_TlCuAsO4
_chemical_formula_sum 'Tl4 Cu4 As4 O16'
_space_group_name_H-M_alt 'P 1'
_space_group_IT_number 1
_cell_length_a 4.9418
_cell_length_b 4.9418
_cell_length_c 17.8848
_cell_angle_alpha 91.99
_cell_angle_beta 91.99
_cell_angle_gamma 93.89
loop_
_space_group_symop_operation_xyz
'x,y,z'
loop_
_atom_site_label
_atom_site_fract_x
_atom_site_fract_y
_atom_site_fract_z
_atom_site_occupancy
Tl1 0.1884 0.7942 0.5588 1
Tl2 0.2058 0.8116 0.9412 1
Tl3 0.7942 0.1884 0.0588 1
Tl4 0.8116 0.2058 0.4412 1
Cu1 0.1517 0.3453 0.7494 1
Cu2 0.3453 0.1517 0.2494 1
Cu3 0.6547 0.8483 0.7506 1
Cu4 0.8483 0.6547 0.2506 1
As1 0.3254 0.6321 0.1447 1
As2 0.3679 0.6746 0.3553 1
As3 0.6321 0.3254 0.6447 1
As4 0.6746 0.3679 0.8553 1
O1 0.0314 0.7393 0.3438 1
O2 0.1477 0.4545 0.2149 1
O3 0.2200 0.5106 0.0586 1
O4 0.2607 0.9686 0.1562 1
O5 0.3369 0.4338 0.8422 1
O6 0.4338 0.3369 0.3422 1
O7 0.4545 0.1477 0.7149 1
O8 0.4894 0.7800 0.4414 1
O9 0.5106 0.2200 0.5586 1
O10 0.5455 0.8523 0.2851 1
O11 0.5662 0.6631 0.6578 1
O12 0.6631 0.5662 0.1578 1
O13 0.7393 0.0314 0.8438 1
O14 0.7800 0.4894 0.9414 1
O15 0.8523 0.5455 0.7851 1
O16 0.9686 0.2607 0.6562 1
```

Values from the calculation:
**Raw formation energy**: -1.104 eV/atom
**VASP energy**: -20.057 eV/atom
**Total magnetic moment**: 0.00 μB per cell

[3]
Entry from the Alexandria database: a crystal of TlCu2As2O8 relaxed with PBEsol (meta-GGA SCAN).

The structure in CIF format:
```
data_TlCu2As2O8
_chemical_formula_sum 'Tl4 Cu8 As8 O32'
_space_group_name_H-M_alt 'P 1'
_space_group_IT_number 1
_cell_length_a 6.2930
_cell_length_b 11.0040
_cell_length_c 10.1989
_cell_angle_alpha 90.00
_cell_angle_beta 99.32
_cell_angle_gamma 90.00
loop_
_space_group_symop_operation_xyz
'x,y,z'
loop_
_atom_site_label
_atom_site_fract_x
_atom_site_fract_y
_atom_site_fract_z
_atom_site_occupancy
Tl1 0.2427 0.0717 0.9998 1
Tl2 0.2427 0.4283 0.4998 1
Tl3 0.7573 0.5717 0.5002 1
Tl4 0.7573 0.9283 0.0002 1
Cu1 0.0932 0.5288 0.8454 1
Cu2 0.0932 0.9712 0.3454 1
Cu3 0.4470 0.1689 0.3348 1
Cu4 0.4470 0.3311 0.8348 1
Cu5 0.5530 0.6689 0.1652 1
Cu6 0.5530 0.8311 0.6652 1
Cu7 0.9068 0.0288 0.6546 1
Cu8 0.9068 0.4712 0.1546 1
As1 0.1279 0.7267 0.2569 1
As2 0.1279 0.7733 0.7569 1
As3 0.3808 0.1049 0.6330 1
As4 0.3808 0.3951 0.1330 1
As5 0.6192 0.6049 0.8670 1
As6 0.6192 0.8951 0.3670 1
As7 0.8721 0.2267 0.2431 1
As8 0.8721 0.2733 0.7431 1
O1 0.0772 0.1183 0.2512 1
O2 0.0772 0.3817 0.7512 1
O3 0.1021 0.6675 0.6357 1
O4 0.1021 0.8325 0.1356 1
O5 0.1035 0.6899 0.8996 1
O6 0.1035 0.8101 0.3996 1
O7 0.1712 0.0040 0.6000 1
O8 0.1712 0.4960 0.1000 1
O9 0.3722 0.6508 0.2936 1
O10 0.3722 0.8492 0.7936 1
O11 0.3785 0.2065 0.5067 1
O12 0.3785 0.2935 0.0067 1
O13 0.3819 0.1676 0.7867 1
O14 0.3819 0.3324 0.2867 1
O15 0.3999 0.5033 0.8571 1
O16 0.3999 0.9967 0.3571 1
O17 0.6001 0.0033 0.6429 1
O18 0.6001 0.4967 0.1429 1
O19 0.6181 0.6676 0.7133 1
O20 0.6181 0.8324 0.2133 1
O21 0.6215 0.7065 0.9933 1
O22 0.6215 0.7935 0.4933 1
O23 0.6278 0.1508 0.2064 1
O24 0.6278 0.3492 0.7064 1
O25 0.8288 0.5040 0.9000 1
O26 0.8288 0.9960 0.4000 1
O27 0.8965 0.1899 0.6004 1
O28 0.8965 0.3101 0.1004 1
O29 0.8979 0.1675 0.8644 1
O30 0.8979 0.3325 0.3644 1
O31 0.9228 0.6183 0.2488 1
O32 0.9228 0.8817 0.7488 1
```

Values from the calculation:
**Raw formation energy**: -1.028 eV/atom
**VASP energy**: -15.873 eV/atom
**Total magnetic moment**: 3.99 μB per cell

> What is the formula in the first record?

SrCuAs2O7